Version a
The following is a PBE-GGA calculation of an optimized crystal structure of SbAsI2Cl, from the Alexandria database.

crystal system: tetragonal

a = 5.614 Å, b = 5.614 Å, c = 5.734 Å
α = 90.00°, β = 90.00°, γ = 90.00°
Element x y z (fractional)
I (0.000, 0.500, 0.000)
I (0.500, 0.000, 0.000)
Sb (0.000, 0.000, 0.500)
As (0.500, 0.500, 0.500)
Cl (0.000, 0.000, 0.000)



Version b
The following is a PBE-GGA calculation of an optimized crystal structure of SbAsI2Cl, from the Alexandria database.

crystal system: tetragonal

a = 5.576 Å, b = 5.576 Å, c = 5.627 Å
α = 90.00°, β = 90.00°, γ = 90.00°
Element x y z (fractional)
I (0.000, 0.500, 0.000)
I (0.500, 0.000, 0.000)
Sb (0.000, 0.000, 0.500)
As (0.000, 0.000, 0.000)
Cl (0.500, 0.500, 0.500)



version b wins, 586 meV/atom ahead of the next structure.